A relaxed structure of KZr2. Source: the Alexandria database, functional PBE.

Geometry as CIF:
```
data_KZr2
_symmetry_space_group_name_H-M 'P n m a'
_symmetry_Int_Tables_number 62
_cell_length_a 6.744
_cell_length_b 5.154
_cell_length_c 9.498
_cell_angle_alpha 90.00
_cell_angle_beta 90.00
_cell_angle_gamma 90.00
loop_
_symmetry_equiv_pos_as_xyz
'x,y,z'
'-x,-y,-z'
'-x+1/2,-y,z+1/2'
'x+1/2,y,-z+1/2'
'x+1/2,-y+1/2,-z+1/2'
'-x+1/2,y+1/2,z+1/2'
'-x,y+1/2,-z'
'x,-y+1/2,z'
loop_
_atom_site_label
_atom_site_type_symbol
_atom_site_fract_x
_atom_site_fract_y
_atom_site_fract_z
K1 K 0.000 0.250 0.085
Zr1 Zr 0.000 0.250 0.438
Zr2 Zr 0.248 0.250 0.749
```

* excess energy over the best structure of this formula in the dataset: 533 meV/atom
* DOS(E_F): 13.3 states/eV/cell
* E: -5.13 eV/atom

A relaxed structure of K7Zr. Source: the Alexandria database, functional PBE.

Geometry as CIF:
```
data_K7Zr
_symmetry_space_group_name_H-M 'F m -3 m'
_symmetry_Int_Tables_number 225
_symmetry_space_group_name_Hall '-F 4 2 3'
_cell_length_a 12.333
_cell_length_b 12.333
_cell_length_c 12.333
_cell_angle_alpha 90.00
_cell_angle_beta 90.00
_cell_angle_gamma 90.00
loop_
_atom_site_label
_atom_site_type_symbol
_atom_site_fract_x
_atom_site_fract_y
_atom_site_fract_z
K1 K 0.000 0.000 0.000
K2 K 0.000 0.250 0.250
Zr1 Zr 0.000 0.000 0.500
```

* DOS(E_F): 52.9 states/eV/cell
* E: -1.53 eV/atom

| no. | formation enthalpy at 0 K (eV/atom) |
| --- | --- |
| 1 | 0.93 |
| 2 | 0.50 |